Entry one
Entry from Alexandria: NiMoRh2 after structural relaxation (PBE).

The structure in POSCAR format:
```
NiMoRh2
1.0
-1.9193 1.9193 3.7366
1.9193 -1.9193 3.7366
1.9193 1.9193 -3.7366
Ni Mo Rh
1 1 2
direct
0.0000 0.0000 0.0000 Ni
0.5000 0.5000 0.0000 Mo
0.2500 0.7500 0.5000 Rh
0.7500 0.2500 0.5000 Rh
```

Entry two
Entry from Alexandria: NiMoRh2 after structural relaxation (PBE).

The structure in POSCAR format:
```
NiMoRh2
1.0
4.2852 0.0000 0.0000
0.0000 5.4580 0.0000
0.0000 0.0000 4.6950
Ni Mo Rh
2 2 4
direct
0.2500 0.2500 0.1657 Ni
0.7500 0.7500 0.8343 Ni
0.2500 0.7500 0.1610 Mo
0.7500 0.2500 0.8390 Mo
0.2500 0.5030 0.6784 Rh
0.2500 0.9970 0.6784 Rh
0.7500 0.0030 0.3216 Rh
0.7500 0.4970 0.3216 Rh
```

Which of them is the most stable? Correct choice: entry two.

Entry one
Entry from Alexandria: NiMoRh2 after structural relaxation (PBE).

The structure in POSCAR format:
```
NiMoRh2
1.0
3.1860 0.0000 0.0000
0.0000 3.1860 0.0000
0.0000 0.0000 5.5631
Ni Mo Rh
1 1 2
direct
0.0000 0.0000 0.0000 Ni
0.5000 0.5000 0.7786 Mo
0.0000 0.0000 0.5270 Rh
0.5000 0.5000 0.2291 Rh
```

Entry two
Entry from Alexandria: NiMoRh2 after structural relaxation (PBE).

The structure in POSCAR format:
```
NiMoRh2
1.0
1.3687 0.7902 8.6402
-1.3687 0.7902 8.6402
0.0000 -1.5804 8.6402
Ni Mo Rh
1 1 2
direct
0.0000 0.0000 0.0000 Ni
0.5000 0.5000 0.5000 Mo
0.2514 0.2514 0.2514 Rh
0.7486 0.7486 0.7486 Rh
```

Entry three
Entry from Alexandria: NiMoRh2 after structural relaxation (PBE).

The structure in POSCAR format:
```
NiMoRh2
1.0
2.7344 0.0000 0.0000
0.0000 2.7344 0.0000
0.0000 0.0000 7.4306
Ni Mo Rh
1 1 2
direct
0.0000 0.0000 0.0000 Ni
0.0000 0.0000 0.5000 Mo
0.5000 0.5000 0.2428 Rh
0.5000 0.5000 0.7572 Rh
```

Entry four
Entry from Alexandria: NiMoRh2 after structural relaxation (PBE).

The structure in POSCAR format:
```
NiMoRh2
1.0
0.0000 3.0351 3.0351
3.0351 0.0000 3.0351
3.0351 3.0351 0.0000
Ni Mo Rh
1 1 2
direct
0.0000 0.0000 0.0000 Ni
0.5000 0.5000 0.5000 Mo
0.2500 0.2500 0.2500 Rh
0.7500 0.7500 0.7500 Rh
```

Which of them is the most stable? Correct choice: entry three.

Entry one
Entry from Alexandria: NiMoRh2 after structural relaxation (PBE).

The structure in POSCAR format:
```
NiMoRh2
1.0
-3.3647 3.3647 2.7123
3.3647 -3.3647 2.7123
3.3647 3.3647 -2.7123
Ni Mo Rh
2 2 4
direct
0.0000 0.0000 0.0000 Ni
0.7500 0.2500 0.5000 Ni
0.2500 0.7500 0.5000 Mo
0.5000 0.5000 0.0000 Mo
0.1365 0.1250 0.5115 Rh
0.3750 0.8635 0.9885 Rh
0.6135 0.6250 0.4885 Rh
0.8750 0.3865 0.0115 Rh
```

Entry two
Entry from Alexandria: NiMoRh2 after structural relaxation (PBE).

The structure in POSCAR format:
```
NiMoRh2
1.0
4.4664 -1.3630 0.0000
4.4664 1.3630 0.0000
-0.8290 0.0000 4.5663
Ni Mo Rh
1 1 2
direct
0.0000 0.0000 0.0000 Ni
0.2522 0.2522 0.7451 Mo
0.4981 0.4981 0.5053 Rh
0.7484 0.7484 0.2317 Rh
```

Which of them is the most stable? Correct choice: entry two.

Entry one
Entry from Alexandria: Ni3MoRh after structural relaxation (PBE).

The structure in POSCAR format:
```
Ni3MoRh
1.0
4.3819 0.0000 0.0000
0.0000 4.3819 0.0000
0.0000 0.0000 4.3819
Ni Mo Rh
3 1 1
direct
0.0000 0.0000 0.5000 Ni
0.0000 0.5000 0.0000 Ni
0.5000 0.0000 0.0000 Ni
0.0000 0.0000 0.0000 Mo
0.5000 0.5000 0.5000 Rh
```

Entry two
Entry from Alexandria: Ni3MoRh after structural relaxation (PBE).

The structure in POSCAR format:
```
Ni3MoRh
1.0
2.5267 -6.4957 0.0000
2.5267 6.4957 0.0000
0.0000 0.0000 4.0897
Ni Mo Rh
6 2 2
direct
0.0627 0.4323 0.7429 Ni
0.1626 0.8374 0.7500 Ni
0.4323 0.0627 0.2571 Ni
0.5677 0.9373 0.7571 Ni
0.8374 0.1626 0.2500 Ni
0.9373 0.5677 0.2429 Ni
0.3784 0.6216 0.2500 Mo
0.6216 0.3784 0.7500 Mo
0.1667 0.1667 0.0000 Rh
0.8333 0.8333 0.5000 Rh
```

Which of them is the most stable? Correct choice: entry two.